# KOsPb2 PBE relaxed
data_KOsPb2
_cell_length_a 6.943
_cell_length_b 6.943
_cell_length_c 15.123
_cell_angle_alpha 90.00
_cell_angle_beta 90.00
_cell_angle_gamma 90.00
_symmetry_space_group_name_H-M 'I -4 2 d'
_symmetry_Int_Tables_number 122
_symmetry_space_group_name_Hall 'I -4 2bw'
loop_
_atom_site_label
_atom_site_type_symbol
_atom_site_fract_x
_atom_site_fract_y
_atom_site_fract_z
_atom_site_occupancy
K1 K 0.000 0.000 0.000 1
Os1 Os 0.000 0.000 0.500 1
Pb1 Pb 0.003 0.250 0.625 1
# ΔE_f: 593 meV per atom
# Total magnetic moment: 0.00 μB per cell
# Crystal system: tetragonal